(1)
Material: TlSb3
Method: DFT, PBE-GGA
State: optimized geometry

Output
Formation energy (no corrections) = 227 meV per atom
V = 28.1 Å³/atom
Total moment = 0.00 μB/atom
Density of states at the Fermi level = 3.12 states/eV/f.u.

a b c (Å): 5.4166 5.4166 5.4166
angles (deg): 60.00 60.00 60.00
Closest atoms and distances in Å follow each position.
Atoms (fractional coordinates):
Tl  0.0000  0.0000  0.0000  8 Sb 3.32
Sb  0.2500  0.2500  0.2500  4 Tl 3.32, 4 Sb 3.32
Sb  0.5000  0.5000  0.5000  8 Sb 3.32
Sb  0.7500  0.7500  0.7500  4 Tl 3.32, 4 Sb 3.32

***

(2)
Material: Tl2Sb3
Method: DFT, PBE-GGA
State: optimized geometry

Output
Formation energy (no corrections) = 181 meV per atom
V = 35.2 Å³/atom
Total moment = 0.00 μB/atom
Density of states at the Fermi level = 2.89 states/eV/f.u.

a b c (Å): 7.7036 7.7036 7.7036
angles (deg): 63.99 63.99 63.99
Closest atoms and distances in Å follow each position.
Atoms (fractional coordinates):
Tl  0.0928  0.0928  0.0928  6 Sb 3.34-3.36, 1 Tl 3.39
Tl  0.4072  0.4072  0.4072  6 Sb 3.34-3.36, 1 Tl 3.39
Tl  0.5928  0.5928  0.5928  6 Sb 3.34-3.36, 1 Tl 3.39
Tl  0.9072  0.9072  0.9072  6 Sb 3.34-3.36, 1 Tl 3.39
Sb  0.0425  0.2500  0.4576  2 Sb 2.93
Sb  0.2500  0.4576  0.0424  2 Sb 2.93
Sb  0.4576  0.0424  0.2500  2 Sb 2.93
Sb  0.5425  0.9576  0.7500  2 Sb 2.93
Sb  0.7500  0.5424  0.9576  2 Sb 2.93
Sb  0.9576  0.7500  0.5424  2 Sb 2.93

***

(3)
Material: TlSb
Method: DFT, PBE-GGA
State: optimized geometry

Output
Formation energy (no corrections) = 100 meV per atom
V = 29.7 Å³/atom
Total moment = 0.00 μB/atom
Density of states at the Fermi level = 1.01 states/eV/f.u.

a b c (Å): 3.4057 3.4057 5.9181
angles (deg): 90.00 90.00 120.00
Closest atoms and distances in Å follow each position.
Atoms (fractional coordinates):
Tl  0.0000  0.0000  0.0000  6 Tl 3.41, 6 Sb 3.55
Sb  0.3333  0.6667  0.5000  6 Sb 3.41, 6 Tl 3.55

***

(4)
Material: Tl3Sb
Method: DFT, PBE-GGA
State: optimized geometry

Output
Formation energy (no corrections) = 26 meV per atom
V = 31.6 Å³/atom
Total moment = 0.00 μB/atom
Density of states at the Fermi level = 1.59 states/eV/f.u.

a b c (Å): 6.3249 6.3249 6.3249
angles (deg): 90.00 90.00 90.00
Closest atoms and distances in Å follow each position.
Atoms (fractional coordinates):
Tl  0.0000  0.2500  0.5000  2 Tl 3.16, 4 Sb 3.54
Tl  0.0000  0.7500  0.5000  2 Tl 3.16, 4 Sb 3.54
Tl  0.2500  0.5000  0.0000  2 Tl 3.16, 4 Sb 3.54
Tl  0.5000  0.0000  0.2500  2 Tl 3.16, 4 Sb 3.54
Tl  0.5000  0.0000  0.7500  2 Tl 3.16, 4 Sb 3.54
Tl  0.7500  0.5000  0.0000  2 Tl 3.16, 4 Sb 3.54
Sb  0.0000  0.0000  0.0000  12 Tl 3.54
Sb  0.5000  0.5000  0.5000  12 Tl 3.54